No. 1
Density functional theory data (PBE) for a relaxed PaSbI2F6 crystal.

Cell lengths 4.736, 6.758, 8.355 Å; angles 108.52, 91.95, 105.85 degrees
Element x y z (fractional)
Pa 0.000 0.000 0.000
Sb 0.000 0.500 0.500
I 0.419 0.277 0.609
I 0.581 0.723 0.391
F 0.067 0.770 0.753
F 0.093 0.819 0.141
F 0.433 0.200 0.051
F 0.567 0.800 0.949
F 0.907 0.181 0.859
F 0.933 0.230 0.247

Summary:
**Magnetic moment**: 0.0 μB/f.u.
**Theoretical density**: 4.95 g/cm3
**Uncorrected formation energy**: -2604 meV/atom

***

No. 2
Density functional theory data (PBE) for a relaxed Ac6NdPb10 crystal.

Cell lengths 10.028, 10.028, 6.887 Å; angles 90.00, 90.00, 120.00 degrees
Element x y z (fractional)
Ac 0.000 0.389 0.265
Ac 0.000 0.611 0.735
Ac 0.389 0.000 0.265
Ac 0.389 0.389 0.735
Ac 0.611 0.000 0.735
Ac 0.611 0.611 0.265
Nd 0.000 0.000 0.500
Pb 0.000 0.252 0.807
Pb 0.000 0.748 0.193
Pb 0.252 0.000 0.807
Pb 0.252 0.252 0.193
Pb 0.333 0.667 0.000
Pb 0.333 0.667 0.500
Pb 0.667 0.333 0.000
Pb 0.667 0.333 0.500
Pb 0.748 0.000 0.193
Pb 0.748 0.748 0.807

Summary:
**Fermi-level density of states**: 15.48 states/eV per cell
**DFT formation energy**: -0.398 eV per atom
**Magnetic moment**: 0.0 μB/f.u.
**Theoretical density**: 9.91 g/cm3

***

No. 3
Density functional theory data (PBE) for a relaxed AsIr2W crystal.

Cell lengths 2.925, 4.488, 9.132 Å; angles 90.00, 90.00, 90.00 degrees
Element x y z (fractional)
As 0.000 0.000 0.000
As 0.500 0.500 0.500
Ir 0.000 0.500 0.271
Ir 0.000 0.500 0.729
Ir 0.500 0.000 0.229
Ir 0.500 0.000 0.771
W 0.000 0.000 0.500
W 0.500 0.500 0.000

Summary:
**Fermi-level density of states**: 4.40 states/eV per cell
**DFT formation energy**: 0.093 eV per atom
**Magnetic moment**: 0.0 μB/f.u.
**Theoretical density**: 17.82 g/cm3

***

No. 4
Density functional theory data (PBE) for a relaxed GdZrAg4 crystal.

Cell lengths 5.628, 5.628, 5.628 Å; angles 60.00, 60.00, 60.00 degrees
Element x y z (fractional)
Gd 0.000 0.000 0.000
Zr 0.250 0.250 0.250
Ag 0.126 0.625 0.625
Ag 0.625 0.126 0.625
Ag 0.625 0.625 0.126
Ag 0.625 0.625 0.625

Summary:
**Fermi-level density of states**: 8.74 states/eV per cell
**DFT formation energy**: 0.027 eV per atom
**Magnetic moment**: 8.1 μB/f.u.
**Theoretical density**: 8.96 g/cm3

***

No. 5
Density functional theory data (PBE) for a relaxed K2LiSnBi2 crystal.

Cell lengths 9.766, 9.766, 9.766 Å; angles 137.49, 62.54, 136.39 degrees
Element x y z (fractional)
K 0.169 0.245 0.414
K 0.331 0.745 0.075
K 0.669 0.255 0.925
K 0.831 0.755 0.586
Li 0.250 0.750 0.500
Li 0.750 0.250 0.500
Sn 0.250 0.250 0.000
Sn 0.750 0.750 0.000
Bi 0.104 0.740 0.844
Bi 0.396 0.240 0.637
Bi 0.604 0.760 0.363
Bi 0.896 0.260 0.156

Summary:
**Fermi-level density of states**: 2.59 states/eV per cell
**DFT formation energy**: -0.369 eV per atom
**Magnetic moment**: 0.0 μB/f.u.
**Theoretical density**: 4.82 g/cm3

***

No. 6
Density functional theory data (PBE) for a relaxed Ta2Cu2Pd crystal.

Cell lengths 6.612, 6.612, 3.484 Å; angles 90.00, 90.00, 90.00 degrees
Element x y z (fractional)
Ta 0.169 0.331 0.000
Ta 0.331 0.831 0.000
Ta 0.669 0.169 0.000
Ta 0.831 0.669 0.000
Cu 0.129 0.629 0.500
Cu 0.371 0.129 0.500
Cu 0.629 0.871 0.500
Cu 0.871 0.371 0.500
Pd 0.000 0.000 0.500
Pd 0.500 0.500 0.500

Summary:
**Fermi-level density of states**: 10.16 states/eV per cell
**DFT formation energy**: 0.061 eV per atom
**Magnetic moment**: 0.0 μB/f.u.
**Theoretical density**: 12.98 g/cm3

***

No. 7
Density functional theory data (PBE) for a relaxed LaSmSiPd crystal.

Cell lengths 4.267, 4.154, 11.292 Å; angles 90.00, 90.00, 90.00 degrees
Element x y z (fractional)
La 0.000 0.000 0.000
La 0.000 0.500 0.500
Sm 0.500 0.000 0.278
Sm 0.500 0.500 0.778
Si 0.000 0.000 0.721
Si 0.000 0.500 0.221
Pd 0.500 0.000 0.574
Pd 0.500 0.500 0.074

Summary:
**Fermi-level density of states**: 4.48 states/eV per cell
**Magnetic moment**: 0.0 μB/f.u.
**Theoretical density**: 7.03 g/cm3
**Uncorrected formation energy**: -776 meV/atom

***

No. 8
Density functional theory data (PBE) for a relaxed Na3Tl4Ge crystal.

Cell lengths 17.049, 5.180, 5.181 Å; angles 90.00, 107.46, 90.00 degrees
Element x y z (fractional)
Na 0.000 0.000 0.000
Na 0.248 0.500 0.749
Na 0.252 0.000 0.251
Na 0.500 0.500 0.000
Na 0.748 0.000 0.749
Na 0.752 0.500 0.251
Tl 0.117 0.000 0.616
Tl 0.117 0.500 0.117
Tl 0.383 0.000 0.883
Tl 0.383 0.500 0.384
Tl 0.617 0.000 0.117
Tl 0.617 0.500 0.616
Tl 0.883 0.000 0.384
Tl 0.883 0.500 0.883
Ge 0.000 0.500 0.500
Ge 0.500 0.000 0.500

Summary:
**Fermi-level density of states**: 4.57 states/eV per cell
**DFT formation energy**: -0.061 eV per atom
**Magnetic moment**: 0.0 μB/f.u.
**Theoretical density**: 7.30 g/cm3

***

- What is the magnetic moment in the sixth record?
  0.0 μB/f.u.